VASP calculation (PBE-GGA) on a relaxed RbTiFeIr2 crystal.

It has space group P4/mmm (No. 123), with a = 4.631 Å, b = 4.631 Å, c = 4.833 Å, α = 90.00°, β = 90.00° and γ = 90.00°. The inequivalent atoms are Rb at (0.000, 0.000, 0.000), Ti at (0.500, 0.500, 0.000), Fe at (0.000, 0.000, 0.500) and Ir at (0.000, 0.500, 0.500).

Its energy is -27.2 eV per cell. Its formation enthalpy at 0 K is 1572 meV per atom.